Here is a relaxed structure of ZnGaPd from the Alexandria database. Energies are from PBE.

Values from the calculation:
Formation enthalpy at 0 K, eV per atom: -0.35
Symmetry: No. 216
Total magnetic moment, μB per formula unit: 0.0

Structure (POSCAR):
```
ZnGaPd
1.0
4.219 0.000 0.000
2.110 3.654 0.000
2.110 1.218 3.445
Zn Pd Ga
1 1 1
Direct
0.500 0.500 0.500
0.250 0.250 0.250
0.000 0.000 0.000
```